1) DFT (PBE) results for an optimized crystal structure of CoMoAu2.

Output
Size of the total moment: 1.49 μB/cell
N(E_F): 3.785 states/eV per cell
SG: Pmmm (47)

Unit cell a=2.825 b=4.685 c=4.847 alpha=90.00 beta=90.00 gamma=90.00
Site moments in Bohr magnetons follow the coordinates.
Atoms (fractional coordinates):
Au (0.000, 0.000, 0.000)  0.02
Mo (0.000, 0.500, 0.500)  -0.04
Co (0.500, 0.000, 0.500)  1.55
Au (0.500, 0.500, 0.000)  0.00

2) DFT (PBE) results for an optimized crystal structure of CoMoAu2.

Output
Size of the total moment: 1.82 μB/cell
N(E_F): 5.078 states/eV per cell
SG: R-3m (166)

Unit cell a=9.233 b=9.233 c=9.233 alpha=17.68 beta=17.68 gamma=17.68
Site moments in Bohr magnetons follow the coordinates.
Atoms (fractional coordinates):
Co (0.250, 0.250, 0.250)  1.82
Au (0.504, 0.504, 0.504)  0.02
Mo (0.750, 0.750, 0.750)  0.02
Au (0.996, 0.996, 0.996)  0.02

Which one is most stable, and which one is least stable? 2) is the most stable of them, while 1) is the least stable.

1) DFT (PBE) results for an optimized crystal structure of CoMoAu2.

Output
Size of the total moment: 5.49 μB/cell
N(E_F): 12.263 states/eV per cell
SG: I-42d (122)

Unit cell a=7.219 b=7.219 c=5.743 alpha=51.06 beta=51.06 gamma=90.00
Site moments in Bohr magnetons follow the coordinates.
Atoms (fractional coordinates):
Co (0.500, 0.500, 0.000)  1.62
Au (0.148, 0.625, 0.250)  0.07
Mo (0.000, 0.000, 0.000)  0.87
Au (0.375, 0.398, 0.750)  0.07
Au (0.602, 0.125, 0.250)  0.07
Mo (0.750, 0.250, 0.500)  0.89
Co (0.250, 0.750, 0.500)  1.63
Au (0.875, 0.852, 0.750)  0.07

2) DFT (PBE) results for an optimized crystal structure of CoMoAu2.

Output
Size of the total moment: 3.29 μB/cell
N(E_F): 5.283 states/eV per cell
SG: P4/mmm (123)

Unit cell a=4.161 b=3.907 c=3.907 alpha=90.00 beta=90.00 gamma=90.00
Site moments in Bohr magnetons follow the coordinates.
Atoms (fractional coordinates):
Co (0.500, 0.500, 0.000)  1.69
Au (0.000, 0.000, 0.000)  0.12
Mo (0.500, 0.000, 0.500)  1.25
Au (0.000, 0.500, 0.500)  0.12

3) DFT (PBE) results for an optimized crystal structure of CoMoAu2.

Output
Size of the total moment: 0.16 μB/cell
N(E_F): 3.887 states/eV per cell
SG: Imm2 (44)

Unit cell a=5.463 b=5.463 c=5.463 alpha=149.78 beta=129.07 gamma=60.37
Site moments in Bohr magnetons follow the coordinates.
Atoms (fractional coordinates):
Au (0.007, 0.007, 0.000)  0.00
Mo (0.285, 0.785, 0.500)  -0.02
Au (0.725, 0.225, 0.500)  -0.01
Co (0.484, 0.484, 0.000)  0.19

4) DFT (PBE) results for an optimized crystal structure of CoMoAu2.

Output
Size of the total moment: 0.67 μB/cell
N(E_F): 4.345 states/eV per cell
SG: Fm-3m (225)

Unit cell a=4.473 b=4.473 c=4.473 alpha=60.00 beta=60.00 gamma=60.00
Site moments in Bohr magnetons follow the coordinates.
Atoms (fractional coordinates):
Co (0.000, 0.000, 0.000)  1.44
Au (0.750, 0.750, 0.750)  -0.03
Au (0.250, 0.250, 0.250)  -0.03
Mo (0.500, 0.500, 0.500)  -0.60

Which one is most stable, and which one is least stable? 3) is the most stable of them, while 1) is the least stable.

1) DFT (PBE) results for an optimized crystal structure of CoMoAu2.

Output
Size of the total moment: 1.42 μB/cell
N(E_F): 4.460 states/eV per cell
SG: C2/m (12)

Unit cell a=4.895 b=4.895 c=4.888 alpha=80.76 beta=80.76 gamma=32.90
Site moments in Bohr magnetons follow the coordinates.
Atoms (fractional coordinates):
Mo (0.750, 0.750, 0.750)  0.03
Au (0.503, 0.503, 0.497)  0.00
Co (0.250, 0.250, 0.250)  1.43
Au (0.997, 0.997, 0.003)  0.00

2) DFT (PBE) results for an optimized crystal structure of CoMoAu2.

Output
Size of the total moment: 1.73 μB/cell
N(E_F): 3.995 states/eV per cell
SG: P2/m (10)

Unit cell a=4.144 b=2.732 c=6.182 alpha=63.99 beta=90.00 gamma=90.00
Site moments in Bohr magnetons follow the coordinates.
Atoms (fractional coordinates):
Au (0.000, 0.999, 0.003)  -0.01
Co (0.500, 0.250, 0.250)  1.72
Mo (0.500, 0.750, 0.750)  0.06
Au (0.000, 0.501, 0.497)  -0.01

3) DFT (PBE) results for an optimized crystal structure of CoMoAu2.

Output
Size of the total moment: 0.80 μB/cell
N(E_F): 4.652 states/eV per cell
SG: I4/mmm (139)

Unit cell a=4.911 b=4.911 c=4.911 alpha=133.08 beta=133.05 gamma=68.55
Site moments in Bohr magnetons follow the coordinates.
Atoms (fractional coordinates):
Co (0.750, 0.250, 0.500)  1.01
Au (0.000, 0.000, 0.000)  -0.01
Mo (0.250, 0.750, 0.500)  -0.15
Au (0.500, 0.500, 0.000)  -0.01

Which one is most stable, and which one is least stable? 2) is the most stable of them, while 3) is the least stable.

1) DFT (PBE) results for an optimized crystal structure of CoMoAu2.

Output
Size of the total moment: 2.72 μB/cell
N(E_F): 4.315 states/eV per cell
SG: Cmmm (65)

Unit cell a=4.992 b=4.992 c=2.726 alpha=90.00 beta=90.00 gamma=110.35
Site moments in Bohr magnetons follow the coordinates.
Atoms (fractional coordinates):
Co (0.500, 0.000, 0.500)  1.88
Au (0.500, 0.500, 0.000)  0.06
Mo (0.000, 0.500, 0.500)  0.67
Au (0.000, 0.000, 0.000)  0.06

2) DFT (PBE) results for an optimized crystal structure of CoMoAu2.

Output
Size of the total moment: 1.13 μB/cell
N(E_F): 4.476 states/eV per cell
SG: Cm (8)

Unit cell a=4.805 b=4.805 c=4.984 alpha=80.27 beta=80.27 gamma=33.57
Site moments in Bohr magnetons follow the coordinates.
Atoms (fractional coordinates):
Au (0.243, 0.243, 0.257)  0.00
Mo (0.760, 0.760, 0.731)  -0.06
Co (0.493, 0.493, 0.523)  1.21
Au (0.004, 0.004, 0.989)  0.00

Which one is most stable, and which one is least stable? 2) is the most stable of them, while 1) is the least stable.

1) DFT (PBE) results for an optimized crystal structure of CoMoAu2.

Output
Size of the total moment: 0.51 μB/cell
N(E_F): 3.294 states/eV per cell
SG: Pm (6)

Unit cell a=2.797 b=2.799 c=8.438 alpha=70.43 beta=90.00 gamma=90.00
Site moments in Bohr magnetons follow the coordinates.
Atoms (fractional coordinates):
Au (0.500, 0.225, 0.276)  0.00
Au (0.000, 0.010, 0.988)  -0.01
Mo (0.500, 0.782, 0.717)  -0.07
Co (0.000, 0.483, 0.519)  0.59

2) DFT (PBE) results for an optimized crystal structure of CoMoAu2.

Output
Size of the total moment: 1.66 μB/cell
N(E_F): 3.388 states/eV per cell
SG: P4/mmm (123)

Unit cell a=4.845 b=4.845 c=2.753 alpha=90.00 beta=90.00 gamma=90.00
Site moments in Bohr magnetons follow the coordinates.
Atoms (fractional coordinates):
Mo (0.000, 0.500, 0.500)  -0.17
Co (0.500, 0.000, 0.500)  1.90
Au (0.500, 0.500, 0.000)  0.00
Au (0.000, 0.000, 0.000)  0.00

Which one is most stable, and which one is least stable? 1) is the most stable of them, while 2) is the least stable.

1) DFT (PBE) results for an optimized crystal structure of CoMoAu2.

Output
Size of the total moment: 1.74 μB/cell
N(E_F): 4.676 states/eV per cell
SG: P4/mmm (123)

Unit cell a=2.775 b=2.775 c=8.119 alpha=90.00 beta=90.00 gamma=90.03
Site moments in Bohr magnetons follow the coordinates.
Atoms (fractional coordinates):
Au (0.000, 0.000, 0.487)  0.00
Co (0.500, 0.500, 0.250)  1.83
Au (0.000, 0.000, 0.013)  0.00
Mo (0.500, 0.500, 0.750)  -0.04

2) DFT (PBE) results for an optimized crystal structure of CoMoAu2.

Output
Size of the total moment: 0.91 μB/cell
N(E_F): 2.550 states/eV per cell
SG: R3m (160)

Unit cell a=9.405 b=9.405 c=9.405 alpha=17.17 beta=17.17 gamma=17.17
Site moments in Bohr magnetons follow the coordinates.
Atoms (fractional coordinates):
Co (0.496, 0.496, 0.496)  1.16
Au (0.003, 0.003, 0.003)  0.01
Mo (0.758, 0.758, 0.758)  -0.21
Au (0.243, 0.243, 0.243)  0.01

Which one is most stable, and which one is least stable? 2) is the most stable of them, while 1) is the least stable.